Record 1
PBE Cd2FePt, relaxed; raw total energy = -4.036 eV/atom; E_form = 0.0470 eV per atom; magnetization = 0.7672 μB/atom; symmetry = R3m, No. 160
1.0
1.4430 0.8331 9.7248
-1.4430 0.8331 9.7248
0.0000 -1.6663 9.7248
Cd Fe Pt
2 1 1
direct
0.0000 0.0000 0.0000 Cd
0.2335 0.2335 0.2335 Cd
0.7462 0.7462 0.7462 Fe
0.4820 0.4820 0.4820 Pt

Record 2
PBE CsKCdTe, relaxed; raw total energy = -2.114 eV/atom; energy relative to the elements, uncorrected = -0.612 eV/atom; magnetization = 0.0000 μB/atom; symmetry = F-43m, No. 216
1.0
0.0000 4.4064 4.4064
4.4064 0.0000 4.4064
4.4064 4.4064 0.0000
Cs K Cd Te
1 1 1 1
direct
0.0000 0.0000 0.0000 Cs
0.5000 0.5000 0.5000 K
0.7500 0.7500 0.7500 Cd
0.2500 0.2500 0.2500 Te

Record 3
PBE BaSrW2, relaxed; raw total energy = -5.289 eV/atom; E_form = 2.0883 eV per atom; magnetization = 1.5003 μB/atom; ΔE to the lowest computed polymorph = 131.4 kJ per mole of atoms; symmetry = P4/mmm, No. 123
1.0
5.4676 0.0000 0.0000
0.0000 5.4676 0.0000
0.0000 0.0000 3.8870
Ba Sr W
1 1 2
direct
0.0000 0.0000 0.0000 Ba
0.5000 0.5000 0.0000 Sr
0.0000 0.5000 0.5000 W
0.5000 0.0000 0.5000 W

Record 4
PBE SmHoBi, relaxed; raw total energy = -4.622 eV/atom; E_form = -0.2298 eV per atom; magnetization = 0.0000 μB/atom; symmetry = I4_1md, No. 109
1.0
-3.1252 3.1252 5.3075
3.1252 -3.1252 5.3075
3.1252 3.1252 -5.3075
Sm Ho Bi
2 2 2
direct
0.0000 0.0000 0.0000 Sm
0.7500 0.2500 0.5000 Sm
0.3336 0.8336 0.5000 Ho
0.5836 0.5836 0.0000 Ho
0.0461 0.5461 0.5000 Bi
0.2961 0.2961 0.0000 Bi

Record 5
PBE PrMg2Al, relaxed; raw total energy = -2.728 eV/atom; E_form = 0.1997 eV per atom; magnetization = 0.0001 μB/atom; symmetry = R-3m, No. 166
1.0
1.6141 0.9319 11.2748
-1.6141 0.9319 11.2748
0.0000 -1.8638 11.2748
Pr Mg Al
1 2 1
direct
0.0000 0.0000 0.0000 Pr
0.0977 0.0977 0.0977 Mg
0.9023 0.9023 0.9023 Mg
0.5000 0.5000 0.5000 Al

Record 6
PBE RbLi2CdIn, relaxed; raw total energy = -1.691 eV/atom; E_form = -0.0014 eV per atom; magnetization = 0.0000 μB/atom; symmetry = P4/mmm, No. 123
1.0
5.5250 0.0000 0.0000
0.0000 5.5250 0.0000
0.0000 0.0000 5.6862
Rb Li Cd In
1 2 1 1
direct
0.0000 0.0000 0.0000 Rb
0.0000 0.5000 0.5000 Li
0.5000 0.0000 0.5000 Li
0.5000 0.5000 0.0000 Cd
0.5000 0.5000 0.5000 In

Record 7
PBE CaPdW, relaxed; raw total energy = -6.524 eV/atom; E_form = 0.1921 eV per atom; magnetization = 0.0000 μB/atom; ΔE to the lowest computed polymorph = 20.1 kJ per mole of atoms; symmetry = C2/m, No. 12
1.0
4.9734 -1.8055 0.0000
4.9734 1.8055 0.0000
-4.7494 0.0000 7.1643
Ca Pd W
2 2 2
direct
0.2340 0.2340 0.3166 Ca
0.7660 0.7660 0.6834 Ca
0.0000 0.0000 0.5000 Pd
0.5000 0.5000 0.0000 Pd
0.1533 0.1533 0.8993 W
0.8467 0.8467 0.1007 W

Record 8
PBE TbZr2Np, relaxed; raw total energy = -8.375 eV/atom; E_form = 0.2918 eV per atom; magnetization = 0.9336 μB/atom; ΔE to the lowest computed polymorph = 0.0 kJ per mole of atoms; symmetry = R-3m, No. 166
1.0
1.6373 0.9453 10.7657
-1.6373 0.9453 10.7657
0.0000 -1.8906 10.7657
Tb Zr Np
1 2 1
direct
0.0000 0.0000 0.0000 Tb
0.2462 0.2462 0.2462 Zr
0.7538 0.7538 0.7538 Zr
0.5000 0.5000 0.5000 Np